Entry from the Alexandria database: a relaxed structure of TaMnNi (PBE).

Unit cell a=4.748 b=4.748 c=4.748 alpha=141.23 beta=141.07 gamma=56.11
Site moments in Bohr magnetons follow the coordinates.
Sites, in units of the cell vectors:
Mn  0.002  0.002  0.000  2.59
Ta  0.333  0.333  0.000  -0.28
Ni  0.665  0.665  0.000  0.30

uncorrected energy = -27.0 eV for the cell shown
calculated volume = 13.93 Å³/atom
energy of formation from the pure elements = -70 meV per atom
magnetic moment = 2.60 μB per formula unit

***

Entry from the Alexandria database: a relaxed structure of Ta4Mn2Ni (PBE).

Unit cell a=4.501 b=4.501 c=6.928 alpha=71.04 beta=71.04 gamma=90.00
Sites, in units of the cell vectors:
Ni  0.000  0.000  0.000
Ta  0.800  0.800  0.399
Ta  0.500  0.000  0.000
Ta  0.200  0.200  0.601
Ta  0.000  0.500  0.000
Mn  0.611  0.611  0.777
Mn  0.389  0.389  0.223

uncorrected energy = -65.2 eV for the cell shown
calculated volume = 17.81 Å³/atom
energy of formation from the pure elements = 911 meV per atom
magnetic moment = 0.00 μB per formula unit

***

Entry from the Alexandria database: a relaxed structure of Ta4MnNi (PBE).

Unit cell a=5.360 b=5.360 c=5.360 alpha=60.00 beta=60.00 gamma=60.00
Site moments in Bohr magnetons follow the coordinates.
Sites, in units of the cell vectors:
Ta  0.375  0.375  0.874  -0.08
Ta  0.375  0.375  0.375  -0.08
Ta  0.375  0.874  0.375  -0.08
Ta  0.874  0.375  0.375  -0.08
Mn  0.750  0.750  0.750  3.53
Ni  0.000  0.000  0.000  0.24

uncorrected energy = -58.6 eV for the cell shown
calculated volume = 18.14 Å³/atom
energy of formation from the pure elements = 627 meV per atom
magnetic moment = 3.38 μB per formula unit

***

Entry from the Alexandria database: a relaxed structure of TaMnNi2 (PBE).

Unit cell a=8.555 b=8.555 c=8.555 alpha=18.46 beta=18.46 gamma=18.46
Site moments in Bohr magnetons follow the coordinates.
Sites, in units of the cell vectors:
Ta  0.250  0.250  0.250  -0.06
Ni  0.496  0.496  0.496  0.36
Ni  0.004  0.004  0.004  0.36
Mn  0.750  0.750  0.750  3.33

uncorrected energy = -32.0 eV for the cell shown
calculated volume = 13.71 Å³/atom
energy of formation from the pure elements = 134 meV per atom
magnetic moment = 4.02 μB per formula unit

***

Entry from the Alexandria database: a relaxed structure of Ta2MnNi9 (PBE).

Unit cell a=3.652 b=3.652 c=10.917 alpha=90.00 beta=90.00 gamma=90.00
Site moments in Bohr magnetons follow the coordinates.
Sites, in units of the cell vectors:
Ni  0.500  0.000  0.835  0.18
Ni  0.500  0.500  0.000  0.38
Ni  0.500  0.000  0.165  0.18
Ni  0.000  0.500  0.835  0.18
Ni  0.000  0.500  0.165  0.18
Ni  0.500  0.500  0.335  0.04
Ni  0.000  0.500  0.500  0.00
Ni  0.500  0.000  0.500  0.00
Ni  0.500  0.500  0.665  0.04
Ta  0.000  0.000  0.674  0.03
Ta  0.000  0.000  0.326  0.03
Mn  0.000  0.000  0.000  3.69

uncorrected energy = -88.0 eV for the cell shown
calculated volume = 12.13 Å³/atom
energy of formation from the pure elements = -256 meV per atom
magnetic moment = 5.07 μB per formula unit

***

Entry from the Alexandria database: a relaxed structure of TaMnNi2 (PBE).

Unit cell a=4.175 b=4.175 c=4.175 alpha=60.00 beta=60.00 gamma=60.00
Site moments in Bohr magnetons follow the coordinates.
Sites, in units of the cell vectors:
Mn  0.500  0.500  0.500  2.10
Ni  0.250  0.250  0.250  0.52
Ni  0.000  0.000  0.000  0.09
Ta  0.750  0.750  0.750  -0.24

uncorrected energy = -32.8 eV for the cell shown
calculated volume = 12.86 Å³/atom
energy of formation from the pure elements = -53 meV per atom
magnetic moment = 2.37 μB per formula unit

***

Entry from the Alexandria database: a relaxed structure of TaMnNi (PBE).

Unit cell a=4.094 b=4.094 c=4.094 alpha=60.00 beta=60.00 gamma=60.00
Site moments in Bohr magnetons follow the coordinates.
Sites, in units of the cell vectors:
Ni  0.500  0.500  0.500  0.14
Ta  0.750  0.750  0.750  -0.31
Mn  0.000  0.000  0.000  1.84

uncorrected energy = -24.7 eV for the cell shown
calculated volume = 16.18 Å³/atom
energy of formation from the pure elements = 706 meV per atom
magnetic moment = 1.66 μB per formula unit

***

Entry from the Alexandria database: a relaxed structure of TaMnNi2 (PBE).

Unit cell a=2.834 b=2.834 c=6.629 alpha=90.00 beta=90.00 gamma=89.99
Site moments in Bohr magnetons follow the coordinates.
Sites, in units of the cell vectors:
Ta  0.500  0.500  0.250  -0.05
Ni  0.000  0.000  0.973  0.47
Ni  0.000  0.000  0.527  0.47
Mn  0.500  0.500  0.750  3.35

uncorrected energy = -33.0 eV for the cell shown
calculated volume = 13.31 Å³/atom
energy of formation from the pure elements = -93 meV per atom
magnetic moment = 4.25 μB per formula unit

***

Entry from the Alexandria database: a relaxed structure of Ta5Mn4Ni (PBE).

Unit cell a=3.066 b=3.066 c=15.329 alpha=90.00 beta=90.00 gamma=90.00
Sites, in units of the cell vectors:
Ta  0.500  0.500  0.699
Ta  0.500  0.500  0.301
Ta  0.500  0.500  0.500
Ta  0.500  0.500  0.898
Ta  0.500  0.500  0.102
Mn  0.000  0.000  0.400
Mn  0.000  0.000  0.600
Mn  0.000  0.000  0.800
Mn  0.000  0.000  0.200
Ni  0.000  0.000  0.000

uncorrected energy = -103.8 eV for the cell shown
calculated volume = 14.41 Å³/atom
energy of formation from the pure elements = -205 meV per atom
magnetic moment = 0.00 μB per formula unit

***

Entry from the Alexandria database: a relaxed structure of TaMnNi2 (PBE).

Unit cell a=4.651 b=4.651 c=4.651 alpha=133.55 beta=133.52 gamma=67.82
Site moments in Bohr magnetons follow the coordinates.
Sites, in units of the cell vectors:
Mn  0.750  0.250  0.500  2.71
Ni  0.000  0.000  0.000  0.29
Ni  0.250  0.750  0.500  0.30
Ta  0.500  0.500  0.000  -0.21

uncorrected energy = -33.2 eV for the cell shown
calculated volume = 12.99 Å³/atom
energy of formation from the pure elements = -159 meV per atom
magnetic moment = 3.08 μB per formula unit

***

Entry from the Alexandria database: a relaxed structure of TaMnNi2 (PBE).

Unit cell a=4.615 b=4.615 c=4.429 alpha=77.11 beta=77.11 gamma=35.38
Site moments in Bohr magnetons follow the coordinates.
Sites, in units of the cell vectors:
Ni  0.997  0.997  0.990  0.23
Ni  0.259  0.259  0.249  0.28
Ta  0.504  0.504  0.480  -0.19
Mn  0.741  0.741  0.781  3.00

uncorrected energy = -32.8 eV for the cell shown
calculated volume = 13.27 Å³/atom
energy of formation from the pure elements = -58 meV per atom
magnetic moment = 3.33 μB per formula unit

***

Entry from the Alexandria database: a relaxed structure of TaMn3Ni12 (PBE).

Unit cell a=3.599 b=3.599 c=14.384 alpha=90.00 beta=90.00 gamma=90.00
Site moments in Bohr magnetons follow the coordinates.
Sites, in units of the cell vectors:
Mn  0.000  0.000  0.256  3.40
Mn  0.000  0.000  0.744  3.40
Mn  0.000  0.000  0.500  3.26
Ta  0.000  0.000  0.000  -0.03
Ni  0.500  0.500  0.500  0.65
Ni  0.000  0.500  0.377  0.57
Ni  0.500  0.500  0.748  0.37
Ni  0.500  0.000  0.377  0.57
Ni  0.500  0.000  0.623  0.57
Ni  0.000  0.500  0.872  0.16
Ni  0.500  0.000  0.128  0.16
Ni  0.500  0.000  0.872  0.16
Ni  0.000  0.500  0.623  0.57
Ni  0.500  0.500  0.000  0.02
Ni  0.000  0.500  0.128  0.16
Ni  0.500  0.500  0.252  0.37

uncorrected energy = -111.4 eV for the cell shown
calculated volume = 11.64 Å³/atom
energy of formation from the pure elements = -168 meV per atom
magnetic moment = 14.26 μB per formula unit

***

Entry from the Alexandria database: a relaxed structure of TaMnNi2 (PBE).

Unit cell a=3.107 b=3.107 c=5.420 alpha=90.00 beta=90.00 gamma=90.00
Site moments in Bohr magnetons follow the coordinates.
Sites, in units of the cell vectors:
Mn  0.500  0.500  0.772  2.45
Ni  0.500  0.500  0.239  -0.10
Ni  0.000  0.000  0.999  0.43
Ta  0.000  0.000  0.490  -0.30

uncorrected energy = -33.1 eV for the cell shown
calculated volume = 13.08 Å³/atom
energy of formation from the pure elements = -118 meV per atom
magnetic moment = 2.38 μB per formula unit